(A)
Entry from Alexandria: a relaxed SrGe3Rh3 crystal (PBE).

The structure in POSCAR format:
```
SrGe3Rh3
1.0
8.981 0.000 0.000
-4.490 7.777 0.000
0.000 0.000 4.292
Sr Ge Rh
2 6 6
direct
0.333 0.667 0.250
0.667 0.333 0.750
0.066 0.716 0.750
0.284 0.350 0.750
0.350 0.066 0.250
0.650 0.934 0.750
0.716 0.650 0.250
0.934 0.284 0.250
0.053 0.422 0.750
0.369 0.947 0.750
0.422 0.369 0.250
0.578 0.631 0.750
0.631 0.053 0.250
0.947 0.578 0.250
```

Calculated values
SG: P6_3/m

=====

(B)
Entry from Alexandria: a relaxed SrGe3Rh3 crystal (PBE).

The structure in POSCAR format:
```
SrGe3Rh3
1.0
6.770 0.000 0.000
0.000 6.770 0.000
0.000 0.000 6.770
Sr Ge Rh
2 6 6
direct
0.000 0.000 0.000
0.500 0.500 0.500
0.000 0.250 0.500
0.000 0.750 0.500
0.250 0.500 0.000
0.500 0.000 0.250
0.500 0.000 0.750
0.750 0.500 0.000
0.000 0.500 0.250
0.000 0.500 0.750
0.250 0.000 0.500
0.500 0.250 0.000
0.500 0.750 0.000
0.750 0.000 0.500
```

Calculated values
SG: Pm-3n

=====

Q: Which of them is the least stable? A: (B).

=====

(A)
Entry from Alexandria: a relaxed Ta3GeRh crystal (PBE).

The structure in POSCAR format:
```
Ta3GeRh
1.0
4.668 0.000 0.000
0.000 4.668 0.000
0.000 0.000 4.668
Ta Ge Rh
3 1 1
direct
0.000 0.000 0.500
0.000 0.500 0.000
0.500 0.000 0.000
0.000 0.000 0.000
0.500 0.500 0.500
```

Calculated values
SG: Pm-3m

=====

(B)
Entry from Alexandria: a relaxed Ta3GeRh crystal (PBE).

The structure in POSCAR format:
```
Ta3GeRh
1.0
4.797 0.000 0.000
0.000 4.797 0.000
0.000 0.000 4.797
Ta Ge Rh
3 1 1
direct
0.000 0.000 0.500
0.000 0.500 0.000
0.500 0.000 0.000
0.500 0.500 0.500
0.000 0.000 0.000
```

Calculated values
SG: Pm-3m

=====

Q: Which of them is the least stable? A: (A).

=====

(A)
Entry from Alexandria: a relaxed TaGeRh3 crystal (PBE).

The structure in POSCAR format:
```
TaGeRh3
1.0
4.464 0.000 0.000
0.000 4.464 0.000
0.000 0.000 4.464
Ta Ge Rh
1 1 3
direct
0.000 0.000 0.000
0.500 0.500 0.500
0.000 0.500 0.500
0.500 0.000 0.500
0.500 0.500 0.000
```

Calculated values
SG: Pm-3m

=====

(B)
Entry from Alexandria: a relaxed TaGeRh3 crystal (PBE).

The structure in POSCAR format:
```
TaGeRh3
1.0
4.738 0.000 0.000
0.000 4.738 0.000
0.000 0.000 4.738
Ta Ge Rh
1 1 3
direct
0.000 0.000 0.000
0.500 0.500 0.500
0.000 0.000 0.500
0.000 0.500 0.000
0.500 0.000 0.000
```

Calculated values
SG: Pm-3m

=====

Q: Which of them is the least stable? A: (B).

=====

(A)
Entry from Alexandria: a relaxed Tb3Ge3Rh2 crystal (PBE).

The structure in POSCAR format:
```
Tb3Ge3Rh2
1.0
2.160 -5.281 0.000
2.160 5.281 0.000
0.000 0.000 14.309
Tb Ge Rh
6 6 4
direct
0.084 0.916 0.610
0.084 0.916 0.890
0.357 0.643 0.750
0.643 0.357 0.250
0.916 0.084 0.110
0.916 0.084 0.390
0.344 0.656 0.250
0.380 0.620 0.537
0.380 0.620 0.963
0.620 0.380 0.037
0.620 0.380 0.463
0.656 0.344 0.750
0.203 0.797 0.099
0.203 0.797 0.401
0.797 0.203 0.599
0.797 0.203 0.901
```

Calculated values
SG: Cmcm

=====

(B)
Entry from Alexandria: a relaxed Tb3Ge3Rh2 crystal (PBE).

The structure in POSCAR format:
```
Tb3Ge3Rh2
1.0
8.109 0.000 0.000
0.000 14.288 0.000
0.000 0.000 5.703
Tb Ge Rh
12 12 8
direct
0.040 0.112 0.123
0.040 0.388 0.123
0.188 0.250 0.634
0.312 0.750 0.134
0.460 0.612 0.623
0.460 0.888 0.623
0.540 0.112 0.377
0.540 0.388 0.377
0.688 0.250 0.866
0.812 0.750 0.366
0.960 0.612 0.877
0.960 0.888 0.877
0.168 0.750 0.612
0.201 0.037 0.625
0.201 0.463 0.625
0.299 0.537 0.125
0.299 0.963 0.125
0.332 0.250 0.112
0.668 0.750 0.888
0.701 0.037 0.875
0.701 0.463 0.875
0.799 0.537 0.375
0.799 0.963 0.375
0.832 0.250 0.388
0.079 0.599 0.383
0.079 0.901 0.383
0.421 0.099 0.883
0.421 0.401 0.883
0.579 0.599 0.117
0.579 0.901 0.117
0.921 0.099 0.617
0.921 0.401 0.617
```

Calculated values
SG: Pnma

=====

Q: Which of them is the least stable? A: (B).

=====

(A)
Entry from Alexandria: a relaxed TbGe4Rh6 crystal (PBE).

The structure in POSCAR format:
```
TbGe4Rh6
1.0
7.225 0.000 0.000
-3.613 6.257 0.000
0.000 0.000 3.839
Tb Ge Rh
1 4 6
direct
0.000 0.000 0.000
0.333 0.667 0.000
0.393 0.197 0.500
0.803 0.197 0.500
0.803 0.607 0.500
0.198 0.397 0.500
0.198 0.802 0.500
0.533 0.067 0.000
0.533 0.467 0.000
0.603 0.802 0.500
0.933 0.467 0.000
```

Calculated values
SG: P-6m2

=====

(B)
Entry from Alexandria: a relaxed TbGe4Rh6 crystal (PBE).

The structure in POSCAR format:
```
TbGe4Rh6
1.0
-2.601 2.601 6.618
2.601 -2.601 6.618
2.601 2.601 -6.618
Tb Ge Rh
1 4 6
direct
0.000 0.000 0.000
0.170 0.556 0.000
0.444 0.444 0.614
0.556 0.170 0.000
0.830 0.830 0.386
0.000 0.500 0.500
0.044 0.044 0.447
0.404 0.956 0.000
0.500 0.000 0.500
0.596 0.596 0.553
0.956 0.404 0.000
```

Calculated values
SG: I-42m

=====

Q: Which of them is the least stable? A: (B).

=====

(A)
Entry from Alexandria: a relaxed TbGeRh3 crystal (PBE).

The structure in POSCAR format:
```
TbGeRh3
1.0
-2.726 3.785 4.260
2.726 -3.785 4.260
2.726 3.785 -4.260
Tb Ge Rh
2 2 6
direct
0.257 0.007 0.250
0.743 0.993 0.750
0.000 0.500 0.500
0.500 0.500 0.000
0.066 0.316 0.750
0.300 0.000 0.800
0.300 0.500 0.300
0.700 0.000 0.200
0.700 0.500 0.700
0.934 0.684 0.250
```

Calculated values
SG: Imma

=====

(B)
Entry from Alexandria: a relaxed TbGeRh3 crystal (PBE).

The structure in POSCAR format:
```
TbGeRh3
1.0
4.019 -5.606 0.000
4.019 5.606 0.000
0.000 0.000 3.805
Tb Ge Rh
2 2 6
direct
0.231 0.769 0.000
0.769 0.231 0.000
0.204 0.204 0.000
0.796 0.796 0.000
0.000 0.000 0.500
0.178 0.437 0.500
0.437 0.178 0.500
0.500 0.500 0.000
0.563 0.822 0.500
0.822 0.563 0.500
```

Calculated values
SG: Cmmm

=====

Q: Which of them is the least stable? A: (A).

=====

(A)
Entry from Alexandria: a relaxed TbGe3Rh3 crystal (PBE).

The structure in POSCAR format:
```
TbGe3Rh3
1.0
6.681 0.000 0.000
0.000 6.681 0.000
0.000 0.000 6.681
Tb Ge Rh
2 6 6
direct
0.000 0.000 0.000
0.500 0.500 0.500
0.000 0.250 0.500
0.000 0.750 0.500
0.250 0.500 0.000
0.500 0.000 0.250
0.500 0.000 0.750
0.750 0.500 0.000
0.000 0.500 0.250
0.000 0.500 0.750
0.250 0.000 0.500
0.500 0.250 0.000
0.500 0.750 0.000
0.750 0.000 0.500
```

Calculated values
SG: Pm-3n

=====

(B)
Entry from Alexandria: a relaxed TbGe3Rh3 crystal (PBE).

The structure in POSCAR format:
```
TbGe3Rh3
1.0
8.678 0.000 0.000
-4.339 7.516 0.000
0.000 0.000 4.339
Tb Ge Rh
2 6 6
direct
0.333 0.667 0.250
0.667 0.333 0.750
0.058 0.341 0.750
0.283 0.942 0.750
0.341 0.283 0.250
0.659 0.717 0.750
0.717 0.058 0.250
0.942 0.659 0.250
0.055 0.628 0.750
0.372 0.426 0.750
0.426 0.055 0.250
0.574 0.945 0.750
0.628 0.574 0.250
0.945 0.372 0.250
```

Calculated values
SG: P6_3/m

=====

(C)
Entry from Alexandria: a relaxed TbGe3Rh3 crystal (PBE).

The structure in POSCAR format:
```
TbGe3Rh3
1.0
7.731 0.000 0.000
0.000 7.731 0.000
0.000 0.000 7.731
Tb Ge Rh
4 12 12
direct
0.057 0.443 0.557
0.443 0.557 0.057
0.557 0.057 0.443
0.943 0.943 0.943
0.007 0.303 0.913
0.087 0.507 0.197
0.197 0.087 0.507
0.303 0.913 0.007
0.413 0.493 0.697
0.493 0.697 0.413
0.507 0.197 0.087
0.587 0.993 0.803
0.697 0.413 0.493
0.803 0.587 0.993
0.913 0.007 0.303
0.993 0.803 0.587
0.112 0.612 0.888
0.177 0.177 0.177
0.198 0.802 0.302
0.302 0.198 0.802
0.323 0.823 0.677
0.388 0.388 0.388
0.612 0.888 0.112
0.677 0.323 0.823
0.698 0.698 0.698
0.802 0.302 0.198
0.823 0.677 0.323
0.888 0.112 0.612
```

Calculated values
SG: P2_13

=====

Q: Which of them is the least stable? A: (A).

=====

(A)
Entry from Alexandria: a relaxed TbTmGeRh crystal (PBE).

The structure in POSCAR format:
```
TbTmGeRh
1.0
0.000 3.484 3.484
3.484 0.000 3.484
3.484 3.484 0.000
Tb Tm Ge Rh
1 1 1 1
direct
0.000 0.000 0.000
0.500 0.500 0.500
0.250 0.250 0.250
0.750 0.750 0.750
```

Calculated values
SG: F-43m

=====

(B)
Entry from Alexandria: a relaxed TbTmGeRh crystal (PBE).

The structure in POSCAR format:
```
TbTmGeRh
1.0
4.122 0.000 0.000
0.000 2.008 5.304
0.000 -2.008 5.304
Tb Tm Ge Rh
1 1 1 1
direct
0.000 0.000 0.000
0.500 0.720 0.720
0.000 0.284 0.284
0.500 0.441 0.441
```

Calculated values
SG: Amm2

=====

Q: Which of them is the least stable? A: (A).

=====

(A)
Entry from Alexandria: a relaxed TcGe2Rh crystal (PBE).

The structure in POSCAR format:
```
TcGe2Rh
1.0
4.299 0.000 0.000
0.000 4.299 0.000
0.000 0.000 3.108
Tc Ge Rh
1 2 1
direct
0.000 0.000 0.000
0.000 0.500 0.500
0.500 0.000 0.500
0.500 0.500 0.000
```

Calculated values
SG: P4/mmm

=====

(B)
Entry from Alexandria: a relaxed TcGe2Rh crystal (PBE).

The structure in POSCAR format:
```
TcGe2Rh
1.0
-1.885 1.885 4.983
1.885 -1.885 4.983
1.885 1.885 -4.983
Tc Ge Rh
1 2 1
direct
0.000 0.000 0.000
0.257 0.257 0.000
0.743 0.743 0.000
0.500 0.500 0.000
```

Calculated values
SG: I4/mmm

=====

(C)
Entry from Alexandria: a relaxed TcGe2Rh crystal (PBE).

The structure in POSCAR format:
```
TcGe2Rh
1.0
-2.782 2.782 5.475
2.782 -2.782 5.475
2.782 2.782 -5.475
Tc Ge Rh
2 4 2
direct
0.000 0.000 0.000
0.750 0.250 0.500
0.127 0.625 0.002
0.375 0.377 0.502
0.623 0.125 0.998
0.875 0.873 0.498
0.250 0.750 0.500
0.500 0.500 0.000
```

Calculated values
SG: I-42d

=====

(D)
Entry from Alexandria: a relaxed TcGe2Rh crystal (PBE).

The structure in POSCAR format:
```
TcGe2Rh
1.0
1.845 1.065 5.496
-1.845 1.065 5.496
0.000 -2.130 5.496
Tc Ge Rh
1 2 1
direct
0.000 0.000 0.000
0.584 0.584 0.584
0.755 0.755 0.755
0.177 0.177 0.177
```

Calculated values
SG: R3m

=====

Q: Which of them is the least stable? A: (B).